The following is a PBE calculation of a relaxed Pm5Ge2Pd crystal, from the Alexandria database.

Results
* energy of formation: -0.498 eV per atom
* final energy: -5.2704 eV per atom
* DOS(E_F): 1.13 states/eV per atom

abc: 5.2014 5.2014 26.1412
angles: 90.00 90.00 120.00
Space group R-3m (No. 166, hexagonal axes)
Asymmetric unit:
1 Pm 0.0000 0.0000 0.0000 [3 per cell]
2 Pm 0.0000 0.0000 0.1282 [6 per cell]
3 Pm 0.0000 0.0000 0.2721 [6 per cell]
4 Ge 0.0000 0.0000 0.3962 [6 per cell]
5 Pd 0.0000 0.0000 0.5000 [3 per cell]


The following is a PBE calculation of a relaxed CePr12Er6 crystal, from the Alexandria database.

Results
* energy of formation: 0.033 eV per atom
* final energy: -4.7393 eV per atom
* DOS(E_F): 1.64 states/eV per atom

abc: 15.8899 15.8899 8.9175
angles: 90.00 90.00 120.00
Space group R-3 (No. 148, hexagonal axes)
Asymmetric unit:
1 Ce 0.0000 0.0000 0.0000 [3 per cell]
2 Pr 0.0357 0.7573 0.3378 [18 per cell]
3 Pr 0.0728 0.5101 0.6665 [18 per cell]
4 Er 0.0169 0.8807 0.6663 [18 per cell]


The following is a PBE calculation of a relaxed CaLa2Co2 crystal, from the Alexandria database.

Results
* energy relative to the lowest polymorph listed for this composition: 277.0 meV per atom
* energy of formation: 0.224 eV per atom
* final energy: -4.9898 eV per atom
* DOS(E_F): 0.60 states/eV per atom

abc: 4.977 4.977 10.790
angles: 90.00 90.00 90.00
Space group I4/mmm (No. 139)
Asymmetric unit:
1 Ca 0.000 0.000 0.000 [2 per cell]
2 La 0.000 0.000 0.329 [4 per cell]
3 Co 0.000 0.500 0.250 [4 per cell]


The following is a PBE calculation of a relaxed CdInBi3 crystal, from the Alexandria database.

Results
* energy relative to the lowest polymorph listed for this composition: 0.0 meV per atom
* energy of formation: 0.539 eV per atom
* final energy: -2.5203 eV per atom
* DOS(E_F): 0.86 states/eV per atom

abc: 5.743 5.743 5.743
angles: 90.00 90.00 90.00
Space group Pm-3m (No. 221)
Asymmetric unit:
1 Cd 0.000 0.000 0.000 [1 per cell]
2 In 0.500 0.500 0.500 [1 per cell]
3 Bi 0.000 0.000 0.500 [3 per cell]


The following is a PBE calculation of a relaxed PmNi4Au8 crystal, from the Alexandria database.

Results
* energy of formation: -0.202 eV per atom
* final energy: -4.3632 eV per atom
* DOS(E_F): 0.74 states/eV per atom

abc: 9.112 9.112 5.298
angles: 90.00 90.00 90.00
Space group I4/mmm (No. 139)
Asymmetric unit:
1 Pm 0.000 0.000 0.000 [2 per cell]
2 Ni 0.250 0.250 0.250 [8 per cell]
3 Au 0.000 0.220 0.500 [8 per cell]
4 Au 0.000 0.335 0.000 [8 per cell]


The following is a PBE calculation of a relaxed Cr3TcAs crystal, from the Alexandria database.

Results
* energy relative to the lowest polymorph listed for this composition: 0.0 meV per atom
* energy of formation: 1.233 eV per atom
* final energy: -7.5443 eV per atom
* DOS(E_F): 0.84 states/eV per atom

abc: 4.652 4.652 4.652
angles: 90.00 90.00 90.00
Space group Pm-3m (No. 221)
Asymmetric unit:
1 Cr 0.000 0.000 0.500 [3 per cell]
2 Tc 0.000 0.000 0.000 [1 per cell]
3 As 0.500 0.500 0.500 [1 per cell]


The following is a PBE calculation of a relaxed MgNpScO6 crystal, from the Alexandria database.

Results
* energy relative to the elements, uncorrected: -2430 kJ/mol of formula units
* final energy: -8.4226 eV per atom

abc: 5.3088 5.3088 9.1897
angles: 90.00 90.00 120.00
Space group P-31c (No. 163)
Asymmetric unit:
1 Mg 0.3333 0.6667 0.2500 [2 per cell]
2 Np 0.3333 0.6667 0.7500 [2 per cell]
3 Sc 0.0000 0.0000 0.0000 [2 per cell]
4 O 0.0112 0.3432 0.6320 [12 per cell]


The following is a PBE calculation of a relaxed ZnTcSe2O crystal, from the Alexandria database.

Results
* energy relative to the elements, uncorrected: 233 kJ/mol of formula units
* final energy: -4.2297 eV per atom
* DOS(E_F): 1.45 states/eV per atom

abc: 5.031 5.031 3.583
angles: 90.00 90.00 90.00
Space group P4/mmm (No. 123)
Asymmetric unit:
1 Zn 0.000 0.000 0.000 [1 per cell]
2 Tc 0.500 0.500 0.500 [1 per cell]
3 Se 0.000 0.500 0.000 [2 per cell]
4 O 0.000 0.000 0.500 [1 per cell]